(1)
Li2HfMn3O6 | PBE with a Hubbard U | relaxed

- DFT total energy: -7.564 eV per atom

Unit cell a=5.473 b=9.295 c=5.450 alpha=90.00 beta=112.49 gamma=90.00
Space group C2/m (No. 12)
Inequivalent atoms, fractional coordinates:
Li 0.000 0.156 0.000 (multiplicity 4)
Hf 0.000 0.500 0.000 (multiplicity 2)
Mn 0.000 0.000 0.500 (multiplicity 2)
Mn 0.000 0.326 0.500 (multiplicity 4)
O 0.231 0.500 0.769 (multiplicity 4)
O 0.250 0.157 0.747 (multiplicity 8)

***

(2)
LiHfMn2O6 | PBE with a Hubbard U | relaxed

- DFT total energy: -7.772 eV per atom

Unit cell a=5.098 b=5.197 c=5.380 alpha=63.34 beta=89.80 gamma=61.33
Space group P1 (No. 1)
Inequivalent atoms, fractional coordinates:
Li 0.000 0.000 0.000 (multiplicity 1)
Hf 0.505 0.983 0.518 (multiplicity 1)
Mn 0.211 0.567 0.633 (multiplicity 1)
Mn 0.721 0.554 0.141 (multiplicity 1)
O 0.109 0.042 0.365 (multiplicity 1)
O 0.329 0.103 0.833 (multiplicity 1)
O 0.446 0.450 0.361 (multiplicity 1)
O 0.573 0.497 0.840 (multiplicity 1)
O 0.835 0.720 0.359 (multiplicity 1)
O 0.931 0.724 0.846 (multiplicity 1)

***

(3)
Li2HfMnO | PBE with a Hubbard U | relaxed

- DFT total energy: -5.965 eV per atom

Unit cell a=4.334 b=4.334 c=4.162 alpha=90.00 beta=90.00 gamma=90.00
Space group P4/mmm (No. 123)
Inequivalent atoms, fractional coordinates:
Li 0.000 0.500 0.000 (multiplicity 2)
Hf 0.000 0.000 0.500 (multiplicity 1)
Mn 0.500 0.500 0.500 (multiplicity 1)
O 0.000 0.000 0.000 (multiplicity 1)

***

What did the first record say?
Li2HfMn3O6 | PBE with a Hubbard U | relaxed

- DFT total energy: -7.564 eV per atom

Unit cell a=5.473 b=9.295 c=5.450 alpha=90.00 beta=112.49 gamma=90.00
Space group C2/m (No. 12)
Inequivalent atoms, fractional coordinates:
Li 0.000 0.156 0.000 (multiplicity 4)
Hf 0.000 0.500 0.000 (multiplicity 2)
Mn 0.000 0.000 0.500 (multiplicity 2)
Mn 0.000 0.326 0.500 (multiplicity 4)
O 0.231 0.500 0.769 (multiplicity 4)
O 0.250 0.157 0.747 (multiplicity 8)

***

What did the third record say?
Li2HfMnO | PBE with a Hubbard U | relaxed

- DFT total energy: -5.965 eV per atom

Unit cell a=4.334 b=4.334 c=4.162 alpha=90.00 beta=90.00 gamma=90.00
Space group P4/mmm (No. 123)
Inequivalent atoms, fractional coordinates:
Li 0.000 0.500 0.000 (multiplicity 2)
Hf 0.000 0.000 0.500 (multiplicity 1)
Mn 0.500 0.500 0.500 (multiplicity 1)
O 0.000 0.000 0.000 (multiplicity 1)

***

> What is the DFT total energy in the second record?

-7.772 eV per atom